8
Lattice="4.450 0.000 0.000 0.000 5.268 0.000 0.000 0.000 8.879" Properties=species:S:1:pos:R:3 comment="PBE LaZnBr2, optimized geometry" crystal_system=orthorhombic total_energy_ev_per_atom=-3.388 formation_energy_uncorrected_mev_per_atom=-1001 relative_energy_ev_per_atom=0.098 pbc="T T T"
La 0.000 0.000 0.000
La 2.225 2.634 4.439
Zn 0.000 0.000 4.439
Zn 2.225 2.634 0.000
Br 0.000 2.634 2.056
Br 0.000 2.634 6.823
Br 2.225 0.000 2.384
Br 2.225 0.000 6.495

12
Lattice="11.322 0.000 0.000 0.000 3.957 0.000 -0.756 0.000 6.157" Properties=species:S:1:pos:R:3 comment="PBE SiHCl, optimized geometry" crystal_system=monoclinic total_energy_ev_per_atom=-4.016 relative_energy_ev_per_atom=0.000 pbc="T T T"
Si 2.442 0.000 2.431
Si 2.463 1.978 3.726
Si 8.103 1.978 2.431
Si 8.124 0.000 3.726
H 1.263 0.000 1.515
H 3.642 1.978 4.641
H 6.924 1.978 1.515
H 9.303 0.000 4.641
Cl 0.734 1.978 4.891
Cl 4.171 0.000 1.266
Cl 6.395 0.000 4.891
Cl 9.832 1.978 1.266

6
Lattice="3.920 0.000 0.000 -1.960 3.395 0.000 0.000 0.000 7.648" Properties=species:S:1:pos:R:3 comment="PBE PmMgBe2Si2, optimized geometry" crystal_system=trigonal total_energy_ev_per_atom=-4.395 formation_energy_uncorrected_mev_per_atom=-287 pbc="T T T"
Pm 0.000 0.000 0.000
Mg 0.000 0.000 3.824
Be 0.000 2.263 5.581
Be 1.960 1.132 2.068
Si 0.000 2.263 2.026
Si 1.960 1.132 5.622

29
Lattice="5.946 -8.166 0.000 5.946 8.166 0.000 -5.137 0.000 8.788" Properties=species:S:1:pos:R:3 comment="PBE Tl17Hg11Sb, optimized geometry" crystal_system=monoclinic total_energy_ev_per_atom=-1.646 formation_energy_uncorrected_mev_per_atom=-2 pbc="T T T"
Tl 0.000 0.000 0.000
Tl -1.817 0.000 3.194
Tl 2.235 3.288 0.419
Tl 0.122 5.480 6.789
Tl 2.065 5.232 3.377
Tl 0.484 2.390 8.570
Tl 3.382 0.000 0.663
Tl 2.657 3.181 6.067
Tl 0.378 0.000 6.145
Tl 2.235 -3.288 0.419
Tl 4.613 2.184 3.318
Tl 0.484 -2.390 8.570
Tl 3.798 0.000 5.951
Tl 2.065 -5.232 3.377
Tl 0.122 -5.480 6.789
Tl 4.613 -2.184 3.318
Tl 2.657 -3.181 6.067
Hg -2.615 1.598 6.523
Hg -0.545 3.045 4.812
Hg 1.490 1.509 3.101
Hg -2.615 -1.598 6.523
Hg 5.094 5.013 1.616
Hg 1.490 -1.509 3.101
Hg -0.545 -3.045 4.812
Hg 6.611 0.000 1.810
Hg 8.800 1.586 0.146
Hg 5.094 -5.013 1.616
Hg 8.800 -1.586 0.146
Sb 6.971 0.000 4.930

4
Lattice="2.727 0.000 0.000 0.000 4.221 0.000 0.000 0.000 5.425" Properties=species:S:1:pos:R:3 comment="PBE LiCdIr2, optimized geometry" crystal_system=orthorhombic total_energy_ev_per_atom=-4.985 delta_e_f_ev_per_atom=0.153 pbc="T T T"
Li 0.000 0.000 0.000
Cd 0.000 0.000 2.712
Ir 1.364 2.111 1.238
Ir 1.364 2.111 4.187

5
Lattice="4.514 0.000 0.000 0.000 4.514 0.000 0.000 0.000 4.379" Properties=species:S:1:pos:R:3 comment="PBE CuP2NCl, optimized geometry" crystal_system=tetragonal total_energy_ev_per_atom=-3.223 formation_energy_uncorrected_mev_per_atom=1795 relative_energy_ev_per_atom=0.903 pbc="T T T"
Cu 0.000 0.000 0.000
P 0.000 2.257 0.000
P 2.257 0.000 0.000
N 2.257 2.257 2.189
Cl 0.000 0.000 2.189